Material: Li3Pr2SbPd12
Method: DFT, PBE
State: optimized geometry

abc: 10.162 10.162 10.162
angles: 37.02 37.02 37.02
Fractional coordinates of all 18 atoms:
Li1 0.500 0.000 0.000
Li2 0.000 0.500 0.000
Pd1 0.177 0.596 0.596
Pd2 0.404 0.404 0.823
Pd3 0.131 0.571 0.131
Pd4 0.596 0.596 0.177
Pr1 0.368 0.368 0.368
Pd5 0.823 0.404 0.404
Pd6 0.869 0.429 0.869
Sb1 0.000 0.000 0.000
Pd7 0.429 0.869 0.869
Pr2 0.632 0.632 0.632
Pd8 0.571 0.131 0.131
Pd9 0.131 0.131 0.571
Li3 0.000 0.000 0.500
Pd10 0.869 0.869 0.429
Pd11 0.404 0.823 0.404
Pd12 0.596 0.177 0.596

## Properties
SG   R-3m
N(E_F)   0.50 states/eV/atom
E   -0.180 hartree per atom
Formation energy from raw total energies   -347 meV/atom
Spin magnetization   0.0 μB/cell

=====

Material: Tm2Sc3S4
Method: DFT, PBE
State: optimized geometry

abc: 3.706 3.706 15.091
angles: 90.01 89.99 120.00
Fractional coordinates of all 9 atoms:
S1 0.000 0.000 0.317
Sc1 0.334 0.666 0.585
S2 0.667 0.333 0.100
Tm1 0.667 0.333 0.790
S3 0.333 0.667 0.900
Tm2 0.333 0.667 0.210
Sc2 0.000 0.000 0.000
S4 0.000 0.000 0.683
Sc3 0.666 0.334 0.415

## Properties
SG   P-3m1
N(E_F)   0.65 states/eV/atom
E   -0.243 hartree per atom
Formation energy from raw total energies   -1679 meV/atom
Spin magnetization   0.0 μB/cell

=====

Material: PmPBr
Method: DFT, PBE
State: optimized geometry

abc: 3.948 7.793 7.033
angles: 67.94 105.59 104.43
Fractional coordinates of all 6 atoms:
Pm1 0.362 0.790 0.423
P1 0.013 0.906 0.668
Pm2 0.638 0.210 0.577
P2 0.987 0.094 0.332
Br1 0.669 0.592 0.236
Br2 0.331 0.408 0.764

## Properties
SG   P-1
N(E_F)   0.04 states/eV/atom
E   -0.195 hartree per atom
Formation energy from raw total energies   -1363 meV/atom
Spin magnetization   0.0 μB/cell
Offset from the most stable computed form   37.3 meV/atom

=====

Material: LaZr2OsPd
Method: DFT, PBE
State: optimized geometry

abc: 4.965 5.454 4.965
angles: 90.00 90.00 90.00
Fractional coordinates of all 5 atoms:
La1 0.000 0.500 0.000
Os1 0.500 0.500 0.500
Pd1 0.000 0.000 0.000
Zr1 0.500 0.000 0.000
Zr2 0.000 0.000 0.500

## Properties
SG   P4/mmm
N(E_F)   1.51 states/eV/atom
E   -0.249 hartree per atom
Spin magnetization   0.0 μB/cell